Here is crystalline Pa2AlRu4 at its relaxed geometry from Alexandria. Energies are from GGA-PBE.

Cell and atoms, written as POSCAR:
```
Pa2AlRu4
1.0
4.078 0.000 0.000
0.000 5.435 -1.257
0.000 0.508 5.555
Ru Pa Al
4 2 1
Direct
0.000 0.725 0.725
0.000 0.275 0.275
0.500 0.000 0.500
0.500 0.500 0.000
0.000 0.793 0.207
0.000 0.207 0.793
0.500 0.500 0.500
```

Calculated values
V: 18.0 Å³/atom
ρ: 11799 kg/m³
Energy of formation from the pure elements: -0.549 eV/atom

***

Here is crystalline Sm4Sn2N at its relaxed geometry from Alexandria. Energies are from GGA-PBE.

Cell and atoms, written as POSCAR:
```
Sm4Sn2N
1.0
4.836 0.000 0.000
0.000 4.836 0.000
2.418 2.418 8.177
Sn Sm N
2 4 1
Direct
0.642 0.642 0.717
0.358 0.358 0.283
0.839 0.839 0.321
0.161 0.161 0.679
0.000 0.500 0.000
0.500 0.000 0.000
0.000 0.000 0.000
```

Calculated values
ΔE_f (raw): -0.914 eV/atom
V: 27.3 Å³/atom
ρ: 7407 kg/m³

***

Here is crystalline BeInAsBr2 at its relaxed geometry from Alexandria. Energies are from GGA-PBE.

Cell and atoms, written as POSCAR:
```
BeInAsBr2
1.0
-2.144 4.617 2.077
0.333 -2.122 5.060
5.054 2.100 0.548
Be As Br In
1 1 2 1
Direct
0.500 0.500 0.500
0.000 0.000 0.500
0.000 0.500 0.000
0.500 0.000 0.000
0.000 0.000 0.000
```

Calculated values
ΔE_f (raw): 0.649 eV/atom
V: 33.2 Å³/atom
Energy relative to the lowest polymorph listed for this composition: 670.8 meV per atom
ρ: 3582 kg/m³

***

Here is crystalline K3TaAl at its relaxed geometry from Alexandria. Energies are from GGA-PBE.

Cell and atoms, written as POSCAR:
```
K3TaAl
1.0
-1.050 4.971 3.919
-5.602 1.120 -2.922
-2.948 -3.899 4.156
K Al Ta
3 1 1
Direct
0.000 0.500 0.000
0.000 0.000 0.500
0.500 0.000 0.000
0.000 0.000 0.000
0.500 0.500 0.500
```

Calculated values
V: 52.8 Å³/atom
Energy relative to the lowest polymorph listed for this composition: 0.0 meV per atom
ρ: 2044 kg/m³
Energy of formation from the pure elements: 1.643 eV/atom

***

Here is crystalline La3NpIn12 at its relaxed geometry from Alexandria. Energies are from GGA-PBE.

Cell and atoms, written as POSCAR:
```
La3NpIn12
1.0
-3.856 2.642 -0.824
-1.704 -1.153 4.277
8.736 15.106 7.552
La Np In
3 1 12
Direct
0.000 0.000 0.246
0.000 0.000 0.500
0.000 0.000 0.754
0.000 0.000 0.000
0.500 0.500 0.000
0.500 0.500 0.248
0.500 0.500 0.500
0.500 0.500 0.752
0.500 0.000 0.119
0.500 0.000 0.373
0.500 0.000 0.627
0.500 0.000 0.881
0.000 0.500 0.119
0.000 0.500 0.373
0.000 0.500 0.627
0.000 0.500 0.881
```

Calculated values
V: 26.8 Å³/atom
ρ: 7876 kg/m³
Energy of formation from the pure elements: -0.360 eV/atom

***

Here is crystalline Ba2SrBr at its relaxed geometry from Alexandria. Energies are from GGA-PBE.

Cell and atoms, written as POSCAR:
```
Ba2SrBr
1.0
-2.223 0.348 -3.470
-3.488 -0.234 2.211
-0.028 11.357 1.157
Sr Ba Br
1 2 1
Direct
0.500 0.500 0.500
0.000 0.000 0.795
0.000 0.000 0.205
0.500 0.500 0.000
```

Calculated values
ΔE_f (raw): -0.666 eV/atom
V: 48.8 Å³/atom
Energy relative to the lowest polymorph listed for this composition: 84.6 meV per atom
ρ: 3760 kg/m³

***

Total DFT energy (no corrections) readings, ordered: -9.097; -5.944; -2.243; -2.135; -4.146; -2.466 eV/atom